1.
The following is a DFT calculation (GGA-PBE) of an optimized crystal structure of La3SmTm2Bi6.

Cell: 7.9671 7.9671 7.9296 Å, 99.64 99.64 120.00°
Positions (direct):
La (0.1648, 0.8352, 0.5000)
La (0.8352, 0.1648, 0.5000)
La (0.5000, 0.5000, 0.5000)
Sm (0.0000, 0.0000, 0.0000)
Tm (0.3325, 0.6675, 0.0000)
Tm (0.6675, 0.3325, 0.0000)
Bi (0.9206, 0.5827, 0.7624)
Bi (0.7400, 0.7400, 0.2352)
Bi (0.0794, 0.4173, 0.2376)
Bi (0.5827, 0.9206, 0.7624)
Bi (0.2600, 0.2600, 0.7648)
Bi (0.4173, 0.0794, 0.2376)

Properties
Electronic total energy   -5.25 eV per atom
Energy relative to the elements   -0.9378 eV per atom
Total magnetization   0.000 μB per cell
DOS(E_F)   0.185 states/eV/atom


2.
The following is a DFT calculation (GGA-PBE) of an optimized crystal structure of GaCu3Br.

Cell: 4.6608 4.6608 4.6608 Å, 90.00 90.00 90.00°
Positions (direct):
Cu (0.0000, 0.5000, 0.0000)
Cu (0.0000, 0.0000, 0.5000)
Cu (0.5000, 0.0000, 0.0000)
Ga (0.0000, 0.0000, 0.0000)
Br (0.5000, 0.5000, 0.5000)

Properties
ΔE to the lowest computed polymorph   0.00 eV per formula unit
Electronic total energy   -2.77 eV per atom
ΔE_f (raw)   0.624 eV/atom
Total magnetization   0.000 μB per cell
DOS(E_F)   0.970 states/eV/atom


3.
The following is a DFT calculation (GGA-PBE) of an optimized crystal structure of ScCdBi2.

Cell: 4.2417 4.2417 9.4357 Å, 77.01 77.01 60.00°
Positions (direct):
Sc (0.5000, 0.5000, 0.5000)
Bi (0.1032, 0.1032, 0.6904)
Bi (0.8968, 0.8968, 0.3096)
Cd (0.0000, 0.0000, 0.0000)

Properties
Electronic total energy   -3.78 eV per atom
Energy relative to the elements   -0.0269 eV per atom
Total magnetization   0.000 μB per cell
DOS(E_F)   0.294 states/eV/atom


4.
The following is a DFT calculation (GGA-PBE) of an optimized crystal structure of TaV6Fe.

Cell: 5.3509 5.3509 5.3509 Å, 110.99 110.99 110.99°
Positions (direct):
Ta (0.0000, 0.0000, 0.0000)
V (0.2531, 0.7373, 0.2531)
V (0.2531, 0.2531, 0.7373)
V (0.7469, 0.2627, 0.7469)
V (0.2627, 0.7469, 0.7469)
V (0.7469, 0.7469, 0.2627)
V (0.7373, 0.2531, 0.2531)
Fe (0.5000, 0.5000, 0.5000)

Properties
Electronic total energy   -9.25 eV per atom
Energy relative to the elements   0.1249 eV per atom
Total magnetization   0.000 μB per cell
DOS(E_F)   1.188 states/eV/atom


5.
The following is a DFT calculation (GGA-PBE) of an optimized crystal structure of NaTaRhS2.

Cell: 4.6331 4.6267 4.6331 Å, 90.00 90.00 90.00°
Positions (direct):
Na (0.0000, 0.5000, 0.0000)
S (0.0000, 0.0000, 0.5000)
S (0.5000, 0.0000, 0.0000)
Rh (0.0000, 0.0000, 0.0000)
Ta (0.5000, 0.5000, 0.5000)

Properties
Electronic total energy   -4.91 eV per atom
ΔE_f (raw)   0.848 eV/atom
Total magnetization   2.659 μB per cell
DOS(E_F)   0.656 states/eV/atom


6.
The following is a DFT calculation (GGA-PBE) of an optimized crystal structure of Hf6MoRh5.

Cell: 4.6164 6.5742 7.2972 Å, 90.00 71.56 90.00°
Positions (direct):
Rh (0.6669, 0.5000, 0.6662)
Rh (0.3315, 0.0000, 0.3371)
Rh (0.0000, 0.5000, 0.0000)
Rh (0.6685, 0.0000, 0.6629)
Rh (0.3331, 0.5000, 0.3338)
Mo (0.0000, 0.0000, 0.0000)
Hf (0.8341, 0.7491, 0.3319)
Hf (0.8341, 0.2509, 0.3319)
Hf (0.5000, 0.2496, 0.0000)
Hf (0.5000, 0.7504, 0.0000)
Hf (0.1659, 0.7491, 0.6681)
Hf (0.1659, 0.2509, 0.6681)

Properties
Electronic total energy   -9.74 eV per atom
Energy relative to the elements   -0.7981 eV per atom
Total magnetization   0.000 μB per cell
DOS(E_F)   0.610 states/eV/atom


7.
The following is a DFT calculation (GGA-PBE) of an optimized crystal structure of Ta2Al2Ni7Ir.

Cell: 3.3625 3.3625 14.9183 Å, 83.50 83.50 90.01°
Positions (direct):
Ta (0.6329, 0.6329, 0.7347)
Ta (0.3671, 0.3671, 0.2653)
Al (0.8084, 0.8084, 0.3835)
Al (0.1916, 0.1916, 0.6165)
Ni (0.5000, 0.5000, 0.0000)
Ni (0.2758, 0.2758, 0.4495)
Ni (0.7242, 0.7242, 0.5505)
Ni (0.9323, 0.4323, 0.1341)
Ni (0.4323, 0.9323, 0.1341)
Ni (0.5677, 0.0677, 0.8659)
Ni (0.0677, 0.5677, 0.8659)
Ir (0.0000, 0.0000, 0.0000)

Properties
Electronic total energy   -6.67 eV per atom
Energy relative to the elements   0.0376 eV per atom
Total magnetization   0.804 μB per cell
DOS(E_F)   1.022 states/eV/atom


8.
The following is a DFT calculation (GGA-PBE) of an optimized crystal structure of RbSrBe2.

Cell: 5.5553 5.5553 5.5553 Å, 60.00 60.00 60.00°
Positions (direct):
Sr (0.5000, 0.5000, 0.5000)
Rb (0.0000, 0.0000, 0.0000)
Be (0.2500, 0.2500, 0.2500)
Be (0.7500, 0.7500, 0.7500)

Properties
ΔE to the lowest computed polymorph   0.00 eV per formula unit
Electronic total energy   -1.52 eV per atom
Energy relative to the elements   1.0015 eV per atom
Total magnetization   0.000 μB per cell
DOS(E_F)   1.378 states/eV/atom


9.
The following is a DFT calculation (GGA-PBE) of an optimized crystal structure of CaCe4Ga5.

Cell: 3.2955 3.2955 21.2229 Å, 90.00 90.00 90.00°
Positions (direct):
Ca (0.0000, 0.0000, 0.0000)
Ce (0.0000, 0.0000, 0.1996)
Ce (0.0000, 0.0000, 0.4001)
Ce (0.0000, 0.0000, 0.5999)
Ce (0.0000, 0.0000, 0.8004)
Ga (0.5000, 0.5000, 0.1005)
Ga (0.5000, 0.5000, 0.2998)
Ga (0.5000, 0.5000, 0.5000)
Ga (0.5000, 0.5000, 0.7002)
Ga (0.5000, 0.5000, 0.8995)

Properties
Electronic total energy   -4.56 eV per atom
Energy relative to the elements   -0.4748 eV per atom
Total magnetization   0.058 μB per cell
DOS(E_F)   1.250 states/eV/atom


10.
The following is a DFT calculation (GGA-PBE) of an optimized crystal structure of AcLa12Tb6.

Cell: 9.4582 9.4582 9.4582 Å, 107.96 107.96 107.96°
Positions (direct):
Ac (0.0000, 0.0000, 0.0000)
La (0.4445, 0.2183, 0.5415)
La (0.2183, 0.5415, 0.4445)
La (0.5415, 0.4445, 0.2183)
La (0.5555, 0.7817, 0.4585)
La (0.7817, 0.4585, 0.5555)
La (0.4585, 0.5555, 0.7817)
La (0.3049, 0.1669, 0.8271)
La (0.1729, 0.6951, 0.8331)
La (0.8331, 0.1729, 0.6951)
La (0.6951, 0.8331, 0.1729)
La (0.8271, 0.3049, 0.1669)
La (0.1669, 0.8271, 0.3049)
Tb (0.0517, 0.1962, 0.4804)
Tb (0.8038, 0.5196, 0.9483)
Tb (0.5196, 0.9483, 0.8038)
Tb (0.9483, 0.8038, 0.5196)
Tb (0.1962, 0.4804, 0.0517)
Tb (0.4804, 0.0517, 0.1962)

Properties
Electronic total energy   -4.58 eV per atom
Energy relative to the elements   0.2092 eV per atom
Total magnetization   0.000 μB per cell
DOS(E_F)   1.669 states/eV/atom


11.
The following is a DFT calculation (GGA-PBE) of an optimized crystal structure of TbMg4Pa.

Cell: 5.9465 5.9465 5.9465 Å, 60.00 60.00 60.00°
Positions (direct):
Mg (0.6249, 0.6249, 0.1252)
Mg (0.6249, 0.1252, 0.6249)
Mg (0.6249, 0.6249, 0.6249)
Mg (0.1252, 0.6249, 0.6249)
Pa (0.2500, 0.2500, 0.2500)
Tb (0.0000, 0.0000, 0.0000)

Properties
Electronic total energy   -3.27 eV per atom
Energy relative to the elements   0.1521 eV per atom
Total magnetization   0.001 μB per cell
DOS(E_F)   1.001 states/eV/atom


12.
The following is a DFT calculation (GGA-PBE) of an optimized crystal structure of TlTe2.

Cell: 6.1518 6.1518 11.3954 Å, 73.04 73.04 32.98°
Positions (direct):
Tl (0.1565, 0.1565, 0.9155)
Tl (0.8435, 0.8435, 0.0845)
Te (0.7835, 0.7835, 0.6621)
Te (0.4644, 0.4644, 0.2681)
Te (0.5356, 0.5356, 0.7319)
Te (0.2165, 0.2165, 0.3379)

Properties
ΔE to the lowest computed polymorph   0.39 eV per formula unit
Electronic total energy   -2.89 eV per atom
ΔE_f (raw)   -0.010 eV/atom
Total magnetization   0.000 μB per cell
DOS(E_F)   0.185 states/eV/atom


13.
The following is a DFT calculation (GGA-PBE) of an optimized crystal structure of PmDyPd4.

Cell: 3.9490 3.9500 8.6204 Å, 89.99 90.00 90.00°
Positions (direct):
Pm (0.5013, 0.4973, 0.9981)
Dy (0.0013, 0.9973, 0.4981)
Pd (0.5014, 0.9975, 0.2536)
Pd (0.5012, 0.9971, 0.7426)
Pd (0.0012, 0.4971, 0.7426)
Pd (0.0014, 0.4975, 0.2537)

Properties
ΔE to the lowest computed polymorph   1.65 eV per formula unit
Electronic total energy   -5.60 eV per atom
Energy relative to the elements   -0.5763 eV per atom
Total magnetization   0.000 μB per cell
DOS(E_F)   0.450 states/eV/atom


14.
The following is a DFT calculation (GGA-PBE) of an optimized crystal structure of HfPt3Au.

Cell: 4.8729 4.8729 4.8729 Å, 90.00 90.00 90.00°
Positions (direct):
Hf (0.5000, 0.5000, 0.5000)
Au (0.0000, 0.0000, 0.0000)
Pt (0.0000, 0.5000, 0.0000)
Pt (0.0000, 0.0000, 0.5000)
Pt (0.5000, 0.0000, 0.0000)

Properties
ΔE to the lowest computed polymorph   7.70 eV per formula unit
Electronic total energy   -5.25 eV per atom
Energy relative to the elements   1.0233 eV per atom
Total magnetization   0.000 μB per cell
DOS(E_F)   0.965 states/eV/atom


15.
The following is a DFT calculation (GGA-PBE) of an optimized crystal structure of NpTcO5.

Cell: 5.4208 5.4208 7.4681 Å, 69.93 69.93 72.94°
Positions (direct):
Np (0.4649, 0.5351, 0.7500)
Np (0.5351, 0.4649, 0.2500)
Tc (0.0000, 0.0000, 0.0000)
Tc (0.0000, 0.0000, 0.5000)
O (0.2259, 0.2853, 0.8692)
O (0.2894, 0.6901, 0.4660)
O (0.2853, 0.2259, 0.3692)
O (0.0548, 0.9452, 0.7500)
O (0.3099, 0.7106, 0.0340)
O (0.6901, 0.2894, 0.9660)
O (0.9452, 0.0548, 0.2500)
O (0.7147, 0.7741, 0.6308)
O (0.7106, 0.3099, 0.5340)
O (0.7741, 0.7147, 0.1308)

Properties
Electronic total energy   -8.99 eV per atom
ΔE_f (raw)   -2.124 eV/atom
Total magnetization   4.570 μB per cell
DOS(E_F)   0.739 states/eV/atom


16.
The following is a DFT calculation (GGA-PBE) of an optimized crystal structure of BeP2S2.

Cell: 4.4883 4.4883 4.5018 Å, 90.00 90.00 90.00°
Positions (direct):
P (0.0000, 0.5000, 0.0000)
P (0.5000, 0.0000, 0.0000)
S (0.0000, 0.0000, 0.0000)
S (0.0000, 0.0000, 0.5000)
Be (0.5000, 0.5000, 0.5000)

Properties
ΔE to the lowest computed polymorph   2.60 eV per formula unit
Electronic total energy   -3.32 eV per atom
ΔE_f (raw)   1.242 eV/atom
Total magnetization   0.000 μB per cell
DOS(E_F)   0.819 states/eV/atom


17.
The following is a DFT calculation (GGA-PBE) of an optimized crystal structure of La2TbPr2Y2.

Cell: 5.1977 6.3571 8.1580 Å, 97.54 90.00 114.13°
Positions (direct):
La (0.1428, 0.2855, 0.4270)
La (0.8572, 0.7145, 0.5730)
Tb (0.0000, 0.0000, 0.0000)
Pr (0.5709, 0.1417, 0.7191)
Pr (0.4291, 0.8583, 0.2809)
Y (0.7152, 0.4304, 0.1384)
Y (0.2848, 0.5696, 0.8616)

Properties
Electronic total energy   -5.26 eV per atom
Energy relative to the elements   0.0221 eV per atom
Total magnetization   0.000 μB per cell
DOS(E_F)   1.688 states/eV/atom


18.
The following is a DFT calculation (GGA-PBE) of an optimized crystal structure of BeGaHg2.

Cell: 4.7991 4.7991 4.7991 Å, 60.00 60.00 60.00°
Positions (direct):
Be (0.0000, 0.0000, 0.0000)
Hg (0.2500, 0.2500, 0.2500)
Hg (0.7500, 0.7500, 0.7500)
Ga (0.5000, 0.5000, 0.5000)

Properties
ΔE to the lowest computed polymorph   0.78 eV per formula unit
Electronic total energy   -1.37 eV per atom
Energy relative to the elements   0.4704 eV per atom
Total magnetization   0.000 μB per cell
DOS(E_F)   0.500 states/eV/atom


19.
The following is a DFT calculation (GGA-PBE) of an optimized crystal structure of K2PaI2Cl4.

Cell: 8.0431 8.0431 8.0431 Å, 83.96 123.55 123.55°
Positions (direct):
K (0.5000, 0.7500, 0.2500)
K (0.5000, 0.2500, 0.7500)
Pa (0.0000, 0.0000, 0.0000)
I (0.0000, 0.7414, 0.7414)
I (0.0000, 0.2586, 0.2586)
Cl (0.0000, 0.7568, 0.2432)
Cl (0.5136, 0.7568, 0.7568)
Cl (0.0000, 0.2432, 0.7568)
Cl (0.4864, 0.2432, 0.2432)

Properties
Electronic total energy   -4.15 eV per atom
ΔE_f (raw)   -1.688 eV/atom
Total magnetization   1.007 μB per cell


20.
The following is a DFT calculation (GGA-PBE) of an optimized crystal structure of AcMg9Ga3.

Cell: 5.7281 7.6902 7.6797 Å, 82.21 68.10 68.68°
Positions (direct):
Ac (0.0000, 0.0000, 0.0000)
Mg (0.7141, 0.7845, 0.7795)
Mg (0.2859, 0.2155, 0.2205)
Mg (0.5064, 0.2155, 0.7795)
Mg (0.4936, 0.7845, 0.2205)
Mg (0.6481, 0.3512, 0.3556)
Mg (0.3519, 0.6488, 0.6444)
Mg (0.9964, 0.6488, 0.3556)
Mg (0.0036, 0.3512, 0.6444)
Mg (0.0000, 0.5000, 0.0000)
Ga (0.5000, 0.5000, 0.0000)
Ga (0.0000, 0.0000, 0.5000)
Ga (0.5000, 0.0000, 0.5000)

Properties
Electronic total energy   -2.29 eV per atom
Energy relative to the elements   -0.1680 eV per atom
Total magnetization   0.000 μB per cell
DOS(E_F)   0.349 states/eV/atom


21.
The following is a DFT calculation (GGA-PBE) of an optimized crystal structure of TlSb2Os.

Cell: 6.8823 6.8823 6.8823 Å, 153.04 139.26 49.54°
Positions (direct):
Os (0.2500, 0.7500, 0.5000)
Sb (0.0689, 0.0689, 0.0000)
Sb (0.4311, 0.4311, 0.0000)
Tl (0.7500, 0.2500, 0.5000)

Properties
ΔE to the lowest computed polymorph   0.83 eV per formula unit
Electronic total energy   -5.04 eV per atom
ΔE_f (raw)   0.421 eV/atom
Total magnetization   0.000 μB per cell
DOS(E_F)   0.512 states/eV/atom


22.
The following is a DFT calculation (GGA-PBE) of an optimized crystal structure of KHgAu2.

Cell: 4.0970 3.7604 7.3119 Å, 89.95 90.00 90.00°
Positions (direct):
Au (0.0000, 0.8756, 0.1364)
Au (0.5000, 0.3754, 0.1451)
Hg (0.0000, 0.3750, 0.4576)
K (0.5000, 0.8740, 0.7610)

Properties
Electronic total energy   -2.17 eV per atom
Energy relative to the elements   -0.1818 eV per atom
Total magnetization   0.000 μB per cell
DOS(E_F)   0.231 states/eV/atom


23.
The following is a DFT calculation (GGA-PBE) of an optimized crystal structure of CaZn2N.

Cell: 7.4781 7.4781 5.7946 Å, 49.81 49.81 90.00°
Positions (direct):
Zn (0.5311, 0.1250, 0.2500)
Zn (0.2189, 0.6250, 0.2500)
Zn (0.3750, 0.4689, 0.7500)
Zn (0.8750, 0.7811, 0.7500)
Ca (0.0000, 0.0000, 0.0000)
Ca (0.7500, 0.2500, 0.5000)
N (0.5000, 0.5000, 0.0000)
N (0.2500, 0.7500, 0.5000)

Properties
Electronic total energy   -3.21 eV per atom
ΔE_f (raw)   0.013 eV/atom
Total magnetization   0.000 μB per cell
DOS(E_F)   0.520 states/eV/atom


24.
The following is a DFT calculation (GGA-PBE) of an optimized crystal structure of Pr2Ga3Cu.

Cell: 4.4332 4.4332 7.8911 Å, 90.00 90.00 120.00°
Positions (direct):
Pr (0.3333, 0.6667, 0.7339)
Pr (0.3333, 0.6667, 0.2637)
Ga (0.6667, 0.3333, 0.4882)
Ga (0.6667, 0.3333, 0.0331)
Ga (0.0000, 0.0000, 0.9668)
Cu (0.0000, 0.0000, 0.5142)

Properties
ΔE to the lowest computed polymorph   0.03 eV per formula unit
Electronic total energy   -4.35 eV per atom
Energy relative to the elements   -0.5593 eV per atom
Total magnetization   0.000 μB per cell
DOS(E_F)   0.576 states/eV/atom


25.
The following is a DFT calculation (GGA-PBE) of an optimized crystal structure of Mg2FeOs.

Cell: 9.1829 9.1829 9.1829 Å, 17.53 17.53 17.53°
Positions (direct):
Fe (0.7500, 0.7500, 0.7500)
Mg (0.0010, 0.0010, 0.0010)
Mg (0.4990, 0.4990, 0.4990)
Os (0.2500, 0.2500, 0.2500)

Properties
ΔE to the lowest computed polymorph   0.69 eV per formula unit
Electronic total energy   -5.44 eV per atom
Energy relative to the elements   0.2849 eV per atom
Total magnetization   2.454 μB per cell
DOS(E_F)   0.892 states/eV/atom